{
  "formula": "Ni3Pt",
  "functional": "PBE",
  "state": "relaxed",
  "e_tot_ev_per_fu": -23.47,
  "lattice": [[-0.682, 0.625, -2.477], [-2.548, 0.019, 0.707], [0.490, 6.810, 1.583]],
  "species": ["Ni", "Ni", "Ni", "Pt"],
  "fractional_positions": [[0.000, 0.000, 0.982], [0.000, 0.000, 0.518], [0.500, 0.500, 0.750], [0.500, 0.500, 0.250]]
}



{
  "formula": "NiPt",
  "functional": "PBE",
  "state": "relaxed",
  "e_tot_ev_per_fu": -10.99,
  "lattice": [[6.628, 0.000, 0.000], [-3.314, 5.740, 0.000], [0.000, 0.000, 4.938]],
  "species": ["Ni", "Ni", "Ni", "Ni", "Ni", "Ni", "Pt", "Pt", "Pt", "Pt", "Pt", "Pt"],
  "fractional_positions": [[0.708, 0.148, 0.250], [0.559, 0.708, 0.750], [0.852, 0.559, 0.250], [0.292, 0.852, 0.750], [0.441, 0.292, 0.250], [0.148, 0.441, 0.750], [0.134, 0.400, 0.250], [0.734, 0.134, 0.750], [0.600, 0.734, 0.250], [0.866, 0.600, 0.750], [0.266, 0.866, 0.250], [0.400, 0.266, 0.750]]
}



{
  "formula": "Pu8NiPt5",
  "functional": "PBE",
  "state": "relaxed",
  "e_tot_ev_per_fu": -158.62,
  "lattice": [[0.349, -4.270, -6.166], [-3.694, -3.684, 5.400], [-3.607, 6.388, -1.599]],
  "species": ["Pu", "Pu", "Pu", "Pu", "Pu", "Pu", "Pu", "Pu", "Ni", "Pt", "Pt", "Pt", "Pt", "Pt"],
  "fractional_positions": [[0.126, 0.742, 0.012], [0.988, 0.114, 0.731], [0.772, 0.253, 0.379], [0.621, 0.392, 0.874], [0.481, 0.608, 0.228], [0.616, 0.886, 0.874], [0.269, 0.258, 0.384], [0.126, 0.747, 0.519], [0.250, 0.500, 0.750], [0.996, 0.371, 0.121], [0.879, 0.875, 0.250], [0.750, 0.629, 0.625], [0.500, 0.000, 0.500], [0.375, 0.125, 0.004]]
}



{
  "formula": "Pu2Ni2Pt",
  "functional": "PBE",
  "state": "relaxed",
  "e_tot_ev_per_fu": -48.28,
  "lattice": [[4.009, 0.000, 1.797], [1.241, 4.458, 2.603], [0.031, 0.288, 5.301]],
  "species": ["Pu", "Pu", "Ni", "Ni", "Pt"],
  "fractional_positions": [[0.803, 0.697, 0.697], [0.197, 0.303, 0.303], [0.500, 0.737, 0.263], [0.500, 0.263, 0.737], [0.000, 0.000, 0.000]]
}



{
  "formula": "Pu3Ni8Pt",
  "functional": "PBE",
  "state": "relaxed",
  "e_tot_ev_per_fu": -98.70,
  "lattice": [[-3.864, -2.026, 2.357], [0.384, -1.230, 4.789], [-3.763, 6.338, 4.497]],
  "species": ["Pu", "Pu", "Pu", "Ni", "Ni", "Ni", "Ni", "Ni", "Ni", "Ni", "Ni", "Pt"],
  "fractional_positions": [[0.376, 0.376, 0.873], [0.995, 0.995, 0.014], [0.504, 0.504, 0.488], [0.937, 0.436, 0.190], [0.441, 0.938, 0.683], [0.436, 0.436, 0.190], [0.938, 0.938, 0.683], [0.188, 0.188, 0.437], [0.688, 0.688, 0.937], [0.436, 0.937, 0.190], [0.938, 0.441, 0.683], [0.873, 0.873, 0.380]]
}



{
  "formula": "PuNiPt2",
  "functional": "PBE",
  "state": "relaxed",
  "e_tot_ev_per_fu": -32.84,
  "lattice": [[-0.336, 4.807, 0.907], [-3.333, -0.891, 3.485], [12.017, -1.267, 11.167]],
  "species": ["Pu", "Pu", "Pu", "Pu", "Ni", "Ni", "Ni", "Ni", "Pt", "Pt", "Pt", "Pt", "Pt", "Pt", "Pt", "Pt"],
  "fractional_positions": [[0.000, 0.250, 0.625], [0.500, 0.750, 0.125], [0.000, 0.750, 0.375], [0.500, 0.250, 0.875], [0.500, 0.750, 0.625], [0.500, 0.250, 0.375], [0.000, 0.250, 0.125], [0.000, 0.750, 0.875], [0.000, 0.000, 0.000], [0.500, 0.500, 0.500], [0.250, 0.750, 0.750], [0.750, 0.250, 0.250], [0.750, 0.750, 0.750], [0.250, 0.250, 0.250], [0.000, 0.500, 0.000], [0.500, 0.000, 0.500]]
}



{
  "formula": "Pu2NiPt2",
  "functional": "PBE",
  "state": "relaxed",
  "e_tot_ev_per_fu": -48.87,
  "lattice": [[5.101, 0.568, -0.353], [2.812, 4.294, -0.353], [0.581, 0.357, 9.075]],
  "species": ["Pu", "Pu", "Pu", "Pu", "Ni", "Ni", "Pt", "Pt", "Pt", "Pt"],
  "fractional_positions": [[0.557, 0.057, 0.157], [0.943, 0.443, 0.344], [0.443, 0.943, 0.843], [0.057, 0.557, 0.656], [0.250, 0.750, 0.250], [0.750, 0.250, 0.750], [0.655, 0.155, 0.466], [0.845, 0.345, 0.034], [0.345, 0.845, 0.534], [0.155, 0.655, 0.966]]
}



{
  "formula": "PuNiPt",
  "functional": "PBE",
  "state": "relaxed",
  "e_tot_ev_per_fu": -27.97,
  "lattice": [[-2.944, -2.991, -3.050], [2.291, -3.484, -3.208], [-0.549, -5.109, 1.127]],
  "species": ["Pu", "Pu", "Ni", "Ni", "Pt", "Pt"],
  "fractional_positions": [[0.877, 0.373, 0.373], [0.123, 0.627, 0.627], [0.000, 0.000, 0.000], [0.500, 0.000, 0.000], [0.500, 0.500, 0.000], [0.500, 0.000, 0.500]]
}



{
  "formula": "PuNiPt",
  "functional": "PBE",
  "state": "relaxed",
  "e_tot_ev_per_fu": -26.98,
  "lattice": [[-0.832, 1.212, 3.047], [-2.298, -2.458, 0.350], [4.811, -2.129, 0.283]],
  "species": ["Ni", "Pt", "Pu"],
  "fractional_positions": [[0.262, 0.262, 0.523], [0.639, 0.639, 0.278], [0.949, 0.949, 0.899]]
}



{
  "formula": "PuNi2Pt6",
  "functional": "PBE",
  "state": "relaxed",
  "e_tot_ev_per_fu": -62.19,
  "lattice": [[-3.067, 7.098, 1.197], [-7.727, 0.818, 0.918], [-2.932, 1.863, 7.011]],
  "species": ["Pu", "Pu", "Ni", "Ni", "Ni", "Ni", "Pt", "Pt", "Pt", "Pt", "Pt", "Pt", "Pt", "Pt", "Pt", "Pt", "Pt", "Pt"],
  "fractional_positions": [[0.500, 0.500, 0.500], [0.750, 0.750, 0.750], [0.125, 0.125, 0.125], [0.125, 0.625, 0.125], [0.125, 0.125, 0.625], [0.625, 0.125, 0.125], [0.260, 0.260, 0.740], [0.740, 0.740, 0.260], [0.260, 0.740, 0.260], [0.260, 0.740, 0.740], [0.510, 0.510, 0.990], [0.510, 0.990, 0.990], [0.740, 0.260, 0.740], [0.990, 0.990, 0.510], [0.510, 0.990, 0.510], [0.990, 0.510, 0.510], [0.740, 0.260, 0.260], [0.990, 0.510, 0.990]]
}



{
  "formula": "Pu3NiPt2",
  "functional": "PBE",
  "state": "relaxed",
  "e_tot_ev_per_fu": -64.21,
  "lattice": [[4.175, 0.000, 0.000], [0.000, 10.938, 0.000], [0.000, 0.000, 11.527]],
  "species": ["Pu", "Pu", "Pu", "Pu", "Pu", "Pu", "Pu", "Pu", "Pu", "Pu", "Pu", "Pu", "Ni", "Ni", "Ni", "Ni", "Pt", "Pt", "Pt", "Pt", "Pt", "Pt", "Pt", "Pt"],
  "fractional_positions": [[0.250, 0.378, 0.048], [0.750, 0.622, 0.952], [0.750, 0.878, 0.452], [0.250, 0.122, 0.548], [0.250, 0.706, 0.221], [0.750, 0.294, 0.779], [0.750, 0.206, 0.279], [0.250, 0.794, 0.721], [0.250, 0.439, 0.374], [0.750, 0.561, 0.626], [0.750, 0.939, 0.126], [0.250, 0.061, 0.874], [0.250, 0.125, 0.127], [0.750, 0.875, 0.873], [0.750, 0.625, 0.373], [0.250, 0.375, 0.627], [0.250, 0.690, 0.489], [0.750, 0.310, 0.511], [0.750, 0.190, 0.011], [0.250, 0.810, 0.989], [0.250, 0.999, 0.315], [0.750, 0.001, 0.685], [0.750, 0.499, 0.185], [0.250, 0.501, 0.815]]
}



{
  "formula": "PuNi6Pt6",
  "functional": "PBE",
  "state": "relaxed",
  "e_tot_ev_per_fu": -88.34,
  "lattice": [[4.607, 0.000, 1.842], [2.293, 6.139, 0.947], [0.025, -0.118, 6.621]],
  "species": ["Pu", "Ni", "Ni", "Ni", "Ni", "Ni", "Ni", "Pt", "Pt", "Pt", "Pt", "Pt", "Pt"],
  "fractional_positions": [[0.000, 0.000, 0.000], [0.000, 0.500, 0.000], [0.500, 0.500, 0.000], [0.000, 0.000, 0.500], [0.500, 0.000, 0.500], [0.500, 0.766, 0.234], [0.500, 0.234, 0.766], [0.343, 0.657, 0.657], [0.657, 0.343, 0.343], [0.000, 0.341, 0.659], [0.000, 0.659, 0.341], [0.305, 0.195, 0.195], [0.695, 0.805, 0.805]]
}



| no. | energy of formation from the pure elements (eV per formula unit) |
| --- | --- |
| 1 | -0.1 |
| 2 | 0.8 |
| 3 | -8.0 |
| 4 | -2.0 |
| 5 | -3.4 |
| 6 | -0.6 |
| 7 | -2.3 |
| 8 | -1.8 |
| 9 | -0.8 |
| 10 | -0.1 |
| 11 | -3.3 |
| 12 | -3.1 |